First-principles (GGA+U) data for a relaxed VAsO crystal, as listed in the Alexandria database.

Properties
* DOS(E_F): 0.650 states/eV/f.u.
* electronic total energy: -6.28 eV per atom
* space-group type: No. 29

a = 4.7280 Å, b = 6.0680 Å, c = 6.8150 Å
α = 90.00°, β = 90.00°, γ = 90.00°
Last column: nearest neighbours and their distance in Å.
Positions (direct):
As 0.5284 0.8562 0.1820  3 V 2.62-2.86, 2 As 2.69
As 0.0284 0.6438 0.1820  3 V 2.62-2.86, 2 As 2.69
As 0.0284 0.1438 0.8180  3 V 2.62-2.86, 2 As 2.69
As 0.5284 0.3562 0.8180  3 V 2.62-2.86, 2 As 2.69
V 0.6757 0.1273 0.5094  3 O 1.89-1.97
V 0.6757 0.6273 0.4906  3 O 1.89-1.97
V 0.1757 0.8727 0.4906  3 O 1.89-1.97
V 0.1757 0.3727 0.5094  3 O 1.89-1.97
O 0.5249 0.8631 0.6399  3 V 1.89-1.97
O 0.0249 0.1369 0.3601  3 V 1.89-1.97
O 0.5249 0.3631 0.3601  3 V 1.89-1.97
O 0.0249 0.6369 0.6399  3 V 1.89-1.97